! Er5InAg GGA-PBE relaxed; values from VASP
! M_tot = 0.0 μB per cell
! E = -57.58 eV for the cell shown
! crystal system = monoclinic
! SG = C2/c
&SYSTEM
  ibrav = 0, nat = 14, ntyp = 3
/
ATOMIC_SPECIES
Er 167.26 Er.upf
In 114.82 In.upf
Ag 107.87 Ag.upf
ATOMIC_POSITIONS crystal
Er 0.012 0.988 0.750
Er 0.069 0.465 0.135
Er 0.230 0.510 0.439
Er 0.465 0.069 0.635
Er 0.490 0.770 0.061
Er 0.510 0.230 0.939
Er 0.535 0.931 0.365
Er 0.770 0.490 0.561
Er 0.931 0.535 0.865
Er 0.988 0.012 0.250
In 0.397 0.603 0.750
In 0.603 0.397 0.250
Ag 0.000 0.000 0.000
Ag 0.000 0.000 0.500
CELL_PARAMETERS angstrom
4.221 -4.058 0.000
4.221 4.058 0.000
-3.067 0.000 11.367